MoAsF3: relaxed, GGA+U.

Output
Density ... 5.0 g cm⁻³
Offset from the most stable computed form ... 207 meV/atom

Lattice parameters (Å, degrees): 4.220 4.220 4.220 90.00 90.00 90.00
Fractional positions:
Mo1 0.000 0.000 0.000
As1 0.500 0.500 0.500
F1 0.000 0.000 0.500
F2 0.000 0.500 0.000
F3 0.500 0.000 0.000